[1]
Crystalline AlCo3Ag at its relaxed geometry, computed with GGA-PBE.

Calculated values
Volume: 79.2 Å³/f.u.
DFT formation energy: 0.9816 eV/atom
Size of the total moment: 3.696 μB/cell
E above lowest polymorph: 0.000 eV/atom
Crystal system: cubic
SG: Pm-3m, No. 221

Lattice parameters (Å, degrees): 4.2951 4.2951 4.2951 90.00 90.00 90.00
Fractional positions:
Al (0.0000, 0.0000, 0.0000)
Co (0.0000, 0.0000, 0.5000)
Co (0.0000, 0.5000, 0.0000)
Co (0.5000, 0.0000, 0.0000)
Ag (0.5000, 0.5000, 0.5000)

[2]
Crystalline AlCo2Ag at its relaxed geometry, computed with GGA-PBE.

Calculated values
Volume: 60.1 Å³/f.u.
DFT formation energy: 0.4092 eV/atom
Size of the total moment: 6.008 μB/cell
Crystal system: tetragonal
SG: I-42d, No. 122

Lattice parameters (Å, degrees): 9.3087 9.3087 9.3087 157.27 157.27 32.36
Fractional positions:
Al (0.0000, 0.0000, 0.0000)
Al (0.7500, 0.2500, 0.5000)
Co (0.0624, 0.6250, 0.9374)
Co (0.3750, 0.3124, 0.4374)
Co (0.6876, 0.1250, 0.0626)
Co (0.8750, 0.9376, 0.5626)
Ag (0.2500, 0.7500, 0.5000)
Ag (0.5000, 0.5000, 0.0000)

[3]
Crystalline Al4CoAg at its relaxed geometry, computed with GGA-PBE.

Calculated values
Volume: 94.0 Å³/f.u.
DFT formation energy: 0.2520 eV/atom
Size of the total moment: 0.195 μB/cell
Crystal system: cubic
SG: F-43m, No. 216

Lattice parameters (Å, degrees): 5.1042 5.1042 5.1042 60.00 60.00 60.00
Fractional positions:
Al (0.1243, 0.1243, 0.1243)
Al (0.1243, 0.1243, 0.6270)
Al (0.1243, 0.6270, 0.1243)
Al (0.6270, 0.1243, 0.1243)
Co (0.7500, 0.7500, 0.7500)
Ag (0.5000, 0.5000, 0.5000)

[4]
Crystalline Al2CoAg at its relaxed geometry, computed with GGA-PBE.

Calculated values
Volume: 58.1 Å³/f.u.
DFT formation energy: -0.1034 eV/atom
Size of the total moment: 0.000 μB/cell
E above lowest polymorph: 0.219 eV/atom
Crystal system: monoclinic
SG: C2/m, No. 12

Lattice parameters (Å, degrees): 4.4292 4.4292 4.9597 101.94 101.94 37.69
Fractional positions:
Al (0.2352, 0.2352, 0.2168)
Al (0.7648, 0.7648, 0.7832)
Co (0.5000, 0.5000, 0.0000)
Ag (0.0000, 0.0000, 0.5000)

[5]
Crystalline Al3CoAg at its relaxed geometry, computed with GGA-PBE.

Calculated values
Volume: 89.5 Å³/f.u.
DFT formation energy: -0.0195 eV/atom
Size of the total moment: 0.000 μB/cell
E above lowest polymorph: 0.000 eV/atom
Crystal system: cubic
SG: Pm-3m, No. 221

Lattice parameters (Å, degrees): 4.4726 4.4726 4.4726 90.00 90.00 90.00
Fractional positions:
Al (0.0000, 0.0000, 0.5000)
Al (0.0000, 0.5000, 0.0000)
Al (0.5000, 0.0000, 0.0000)
Co (0.0000, 0.0000, 0.0000)
Ag (0.5000, 0.5000, 0.5000)

[6]
Crystalline AlCo2Ag at its relaxed geometry, computed with GGA-PBE.

Calculated values
Volume: 53.5 Å³/f.u.
DFT formation energy: 0.0959 eV/atom
Size of the total moment: 2.769 μB/cell
Crystal system: orthorhombic
SG: Immm, No. 71

Lattice parameters (Å, degrees): 4.9729 4.9729 4.9729 145.19 129.55 62.76
Fractional positions:
Al (0.0000, 0.0000, 0.0000)
Co (0.2361, 0.7361, 0.5000)
Co (0.7639, 0.2639, 0.5000)
Ag (0.5000, 0.5000, 0.0000)

- Number 3 is which compound?
  Al4CoAg

- The highest size of the total moment belongs to which entry?
  number 2

Please write out number 3 again, unchanged.
Crystalline Al4CoAg at its relaxed geometry, computed with GGA-PBE.

Calculated values
Volume: 94.0 Å³/f.u.
DFT formation energy: 0.2520 eV/atom
Size of the total moment: 0.195 μB/cell
Crystal system: cubic
SG: F-43m, No. 216

Lattice parameters (Å, degrees): 5.1042 5.1042 5.1042 60.00 60.00 60.00
Fractional positions:
Al (0.1243, 0.1243, 0.1243)
Al (0.1243, 0.1243, 0.6270)
Al (0.1243, 0.6270, 0.1243)
Al (0.6270, 0.1243, 0.1243)
Co (0.7500, 0.7500, 0.7500)
Ag (0.5000, 0.5000, 0.5000)